1.
! CdH2Pd4 (PBE-GGA, relaxed); values from VASP
&SYSTEM
  ibrav = 0, nat = 14, ntyp = 3
/
ATOMIC_SPECIES
H 1.01 H.upf
Pd 106.42 Pd.upf
Cd 112.41 Cd.upf
CELL_PARAMETERS angstrom
-3.6105 1.9005 -2.9998
-2.7104 -0.4612 4.2212
4.9562 5.8238 0.7107
ATOMIC_POSITIONS crystal
H 0.6114 0.2604 0.1042
Pd 0.2601 0.1765 0.8109
Pd 0.9534 0.5772 0.7109
Pd 0.6642 0.9744 0.6143
H 0.2226 0.5341 0.8930
Pd 0.8634 0.3872 0.0110
H 0.6302 0.3473 0.7134
Cd 0.1554 0.9960 0.1113
H 0.6786 0.8036 0.1470
Pd 0.4605 0.5811 0.2215
Pd 0.7651 0.1784 0.3186
Pd 0.5525 0.7838 0.9058
Cd 0.0696 0.7750 0.4253
Pd 0.3629 0.3750 0.5127
! **Energy above the most stable polymorph in this dataset**: 2.7 kJ per mole of atoms
! **E_tot**: -4.227 eV/atom
! **Magnetic moment**: 0.0 μB/cell
! **Space-group type**: P1, No. 1



2.
! CdH4Pd8 (PBE-GGA, relaxed); values from VASP
&SYSTEM
  ibrav = 0, nat = 13, ntyp = 3
/
ATOMIC_SPECIES
H 1.01 H.upf
Pd 106.42 Pd.upf
Cd 112.41 Cd.upf
CELL_PARAMETERS angstrom
2.8841 0.0585 0.3332
1.0632 7.2215 2.0938
-0.8975 1.3980 7.7173
ATOMIC_POSITIONS crystal
H 0.7783 0.4851 0.1485
Pd 0.1816 0.6690 0.9695
H 0.4271 0.1951 0.5423
Pd 0.7041 0.6220 0.3007
Cd 0.5157 0.0017 0.9669
H 0.2535 0.5184 0.7853
H 0.6042 0.8083 0.3915
Pd 0.3658 0.2954 0.2894
Pd 0.0272 0.9693 0.2965
Pd 0.8498 0.3343 0.9642
Pd 0.6656 0.7079 0.6443
Pd 0.0042 0.0341 0.6372
Pd 0.3273 0.3814 0.6331
! **E_tot**: -4.435 eV/atom
! **Magnetic moment**: 0.0 μB/cell
! **Space-group type**: P-1, No. 2



3.
! Pm2CdHPd6 (PBE-GGA, relaxed); values from VASP
&SYSTEM
  ibrav = 0, nat = 10, ntyp = 4
/
ATOMIC_SPECIES
Pm 145.00 Pm.upf
Pd 106.42 Pd.upf
H 1.01 H.upf
Cd 112.41 Cd.upf
CELL_PARAMETERS angstrom
5.7478 0.0328 0.0391
-0.0266 7.1511 1.0060
2.8568 4.2700 5.0884
ATOMIC_POSITIONS crystal
Pm 0.7277 0.2627 0.5346
Pd 0.7319 0.2808 0.0491
Pm 0.2723 0.7373 0.4654
Pd 0.2678 0.2195 0.4512
H 0.5000 0.5000 0.0000
Pd 0.7607 0.7220 0.9609
Pd 0.2681 0.7192 0.9509
Pd 0.2393 0.2780 0.0392
Pd 0.7322 0.7805 0.5488
Cd 0.0000 0.0000 0.0000
! **E_tot**: -5.063 eV/atom
! **Magnetic moment**: 0.0 μB/cell
! **Space-group type**: P-1, No. 2



4.
! PrCdH6Pd4 (PBE-GGA, relaxed); values from VASP
&SYSTEM
  ibrav = 0, nat = 12, ntyp = 4
/
ATOMIC_SPECIES
Pd 106.42 Pd.upf
Pr 140.91 Pr.upf
Cd 112.41 Cd.upf
H 1.01 H.upf
CELL_PARAMETERS angstrom
4.7832 0.0000 0.0000
-2.3916 4.1423 0.0000
0.0000 0.0000 6.9461
ATOMIC_POSITIONS crystal
Pd 0.3333 0.6667 0.8030
Pr 0.0000 0.0000 0.5000
Cd 0.0000 0.0000 0.0000
Pd 0.6667 0.3333 0.1970
H 0.5000 0.5000 0.3528
H 0.5000 0.0000 0.6472
H 0.0000 0.5000 0.6472
H 0.0000 0.5000 0.3528
H 0.5000 0.0000 0.3528
Pd 0.6667 0.3333 0.8030
Pd 0.3333 0.6667 0.1970
H 0.5000 0.5000 0.6472
! **E_tot**: -4.173 eV/atom
! **Magnetic moment**: 0.0 μB/cell
! **Space-group type**: P6/mmm, No. 191